Li2AgHRu PBE optimized geometry; density = 6.33 g/cm³; size of the total moment = 0.209 μB/f.u.; electronic total energy = -19.34 eV per cell
1.0
4.005 0.000 0.000
0.000 4.005 0.000
0.000 0.000 3.659
Ru H Ag Li
1 1 1 2
Direct
0.000 0.000 0.500 Ru
0.000 0.000 0.000 H
0.500 0.500 0.500 Ag
0.000 0.500 0.000 Li
0.500 0.000 0.000 Li